1.
An optimized crystal structure of La2NdPt. Source: the Alexandria database, functional PBE-GGA.

a b c (Å): 3.7545 3.7545 8.6852
angles (deg): 90.00 90.00 90.00
With the nearest neighbours (Å) after each atom.
Space group P4/mmm (No. 123)
One atom of each set of equivalent atoms:
La (0.0000, 0.0000, 0.1959) (multiplicity 2)  4 Pt 3.15, 1 La 3.40
Nd (0.5000, 0.5000, 0.5000) (multiplicity 1)  8 La 3.74, 4 Nd 3.75
Pt (0.5000, 0.5000, 0.0000) (multiplicity 1)  8 La 3.15



2.
An optimized crystal structure of LaNd3Pt2. Source: the Alexandria database, functional PBE-GGA.

a b c (Å): 4.9713 9.1430 7.4110
angles (deg): 90.00 90.00 90.00
With the nearest neighbours (Å) after each atom.
Space group Pmc2_1 (No. 26)
One atom of each set of equivalent atoms:
La (0.0000, 0.0839, 0.0000) (multiplicity 2)  3 Pt 2.90-3.18
Nd (0.0000, 0.3405, 0.6395) (multiplicity 2)  4 Pt 2.98-3.07
Nd (0.5000, 0.1646, 0.3527) (multiplicity 2)  4 Pt 2.95-3.11
Nd (0.5000, 0.4182, 0.9901) (multiplicity 2)  3 Pt 2.91-3.18
Pt (0.0000, 0.3363, 0.2371) (multiplicity 2)  1 La 2.90, 6 Nd 2.98-3.18
Pt (0.5000, 0.1655, 0.7512) (multiplicity 2)  5 Nd 2.91-3.11, 2 La 3.18



3.
An optimized crystal structure of La5NdPt2. Source: the Alexandria database, functional PBE-GGA.

a b c (Å): 3.9571 13.8388 19.1674
angles (deg): 90.00 90.00 90.00
With the nearest neighbours (Å) after each atom.
Space group Cmcm (No. 63)
One atom of each set of equivalent atoms:
La (0.0000, 0.0532, 0.2500) (multiplicity 4)  2 Pt 3.04
La (0.0000, 0.1706, 0.5609) (multiplicity 8)  2 Pt 2.99
La (0.0000, 0.4443, 0.5893) (multiplicity 8)  2 Pt 2.98
Nd (0.0000, 0.2219, 0.7500) (multiplicity 4)  4 Pt 3.14
Pt (0.0000, 0.2042, 0.1346) (multiplicity 8)  5 La 2.98-3.04, 2 Nd 3.14



4.
An optimized crystal structure of LaNd5Pt4. Source: the Alexandria database, functional PBE-GGA.

a b c (Å): 18.3547 4.2699 8.2106
angles (deg): 90.00 107.13 90.00
With the nearest neighbours (Å) after each atom.
Space group C2/m (No. 12)
One atom of each set of equivalent atoms:
La (0.0000, 0.0000, 0.0000) (multiplicity 2)  6 Pt 3.02-3.06
Nd (0.0000, 0.0000, 0.5000) (multiplicity 2)  4 Pt 2.91
Nd (0.1657, 0.5000, 0.3516) (multiplicity 4)  3 Pt 2.88-2.89
Nd (0.1660, 0.5000, 0.8686) (multiplicity 4)  4 Pt 2.90-2.94
Pt (0.0016, 0.5000, 0.2605) (multiplicity 4)  4 Nd 2.88-2.94, 2 La 3.02
Pt (0.1747, 0.0000, 0.1204) (multiplicity 4)  5 Nd 2.89-2.94, 1 La 3.06



5.
An optimized crystal structure of La2Nd2Pt15. Source: the Alexandria database, functional PBE-GGA.

a b c (Å): 9.4712 9.4712 13.9125
angles (deg): 90.00 90.00 120.00
With the nearest neighbours (Å) after each atom.
Space group R-3m (No. 166, hexagonal axes)
One atom of each set of equivalent atoms:
La (0.0000, 0.0000, 0.1416) (multiplicity 6)  12 Pt 3.24-3.41, 1 Nd 3.51
Nd (0.0000, 0.0000, 0.3937) (multiplicity 6)  6 Pt 2.86-2.96, 1 Nd 2.96
Pt (0.0000, 0.3155, 0.5000) (multiplicity 18)  8 Pt 2.76-2.99
Pt (0.0000, 0.5000, 0.0000) (multiplicity 9)  8 Pt 2.76-2.77, 2 Nd 2.86
Pt (0.0074, 0.5037, 0.6560) (multiplicity 18)  8 Pt 2.69-2.89, 1 Nd 2.96



6.
An optimized crystal structure of LaNd2Pt. Source: the Alexandria database, functional PBE-GGA.

a b c (Å): 4.0657 4.0657 28.3512
angles (deg): 90.00 90.00 120.00
With the nearest neighbours (Å) after each atom.
Space group R3m (No. 160, hexagonal axes)
One atom of each set of equivalent atoms:
La (0.0000, 0.0000, 0.0000) (multiplicity 3)  6 Nd 3.80-3.88, 6 La 4.07
Nd (0.0000, 0.0000, 0.2281) (multiplicity 3)  3 Pt 2.88
Nd (0.0000, 0.0000, 0.4423) (multiplicity 3)  3 Pt 2.90
Pt (0.0000, 0.0000, 0.8357) (multiplicity 3)  6 Nd 2.88-2.90



7.
An optimized crystal structure of LaNd3Pt8. Source: the Alexandria database, functional PBE-GGA.

a b c (Å): 5.5322 5.5322 9.0919
angles (deg): 90.00 90.00 120.00
With the nearest neighbours (Å) after each atom.
Space group P3m1 (No. 156)
One atom of each set of equivalent atoms:
La (0.0000, 0.0000, 0.0000) (multiplicity 1)  12 Pt 3.24-3.29, 4 Nd 3.38-3.42
Nd (0.0000, 0.0000, 0.3713) (multiplicity 1)  12 Pt 3.24-3.25, 1 La 3.38, 3 Nd 3.40
Nd (0.6667, 0.3333, 0.4979) (multiplicity 1)  12 Pt 3.24-3.26, 4 Nd 3.35-3.40
Nd (0.6667, 0.3333, 0.8666) (multiplicity 1)  12 Pt 3.23-3.30, 1 Nd 3.35, 3 La 3.42
Pt (0.1654, 0.3308, 0.6827) (multiplicity 3)  6 Pt 2.75-2.79
Pt (0.3333, 0.6667, 0.4332) (multiplicity 1)  6 Pt 2.77-2.78
Pt (0.3333, 0.6667, 0.9337) (multiplicity 1)  6 Pt 2.79-2.80
Pt (0.5016, 0.0032, 0.1849) (multiplicity 3)  6 Pt 2.74-2.80



8.
An optimized crystal structure of La2NdPt. Source: the Alexandria database, functional PBE-GGA.

a b c (Å): 3.9649 10.2082 6.4440
angles (deg): 90.00 107.92 90.00
With the nearest neighbours (Å) after each atom.
Space group P2_1/m (No. 11)
One atom of each set of equivalent atoms:
La (0.1375, 0.0618, 0.2746) (multiplicity 4)  2 Pt 2.97
Nd (0.4201, 0.2500, 0.8389) (multiplicity 2)  2 Pt 3.09
Pt (0.2739, 0.7500, 0.5485) (multiplicity 2)  4 La 2.97, 2 Nd 3.09



Short version: ΔE_f = -507.5, -815.7, -539.3, -871.5, -709.2, -469.4, -1006.1, -610.9 meV/atom, in the order given.